one.
Density functional theory data (GGA-PBE) for a relaxed structure of SnSeBr2O.

## Properties
The crystal system is tetragonal. The calculated volume is 21.802 A^3/atom.

a b c (Å): 4.8737 4.8737 4.5895
angles (deg): 90.00 90.00 90.00
Space group P4/mmm (No. 123)
Unique sites:
1 Sn 0.0000 0.0000 0.0000
2 Se 0.5000 0.5000 0.0000
3 Br 0.0000 0.5000 0.5000
4 O 0.5000 0.5000 0.5000



two.
Density functional theory data (GGA-PBE) for a relaxed structure of SnSeBr2O.

## Properties
The crystal system is tetragonal. The calculated volume is 32.677 A^3/atom.

a b c (Å): 5.4683 5.4683 5.4640
angles (deg): 90.00 90.00 90.00
Space group P4/mmm (No. 123)
Unique sites:
1 Sn 0.0000 0.0000 0.0000
2 Se 0.0000 0.0000 0.5000
3 Br 0.0000 0.5000 0.0000
4 O 0.5000 0.5000 0.5000



one comes first in stability; the runner-up is 38.2 kJ/mol of atoms higher.



one.
Density functional theory data (GGA-PBE) for a relaxed structure of TeSeBr2O.

## Properties
The crystal system is tetragonal. The calculated volume is 32.615 A^3/atom.

a b c (Å): 5.4732 5.4732 5.4438
angles (deg): 90.00 90.00 90.00
Space group P4/mmm (No. 123)
Unique sites:
1 Te 0.0000 0.0000 0.0000
2 Se 0.0000 0.0000 0.5000
3 Br 0.0000 0.5000 0.0000
4 O 0.5000 0.5000 0.5000



two.
Density functional theory data (GGA-PBE) for a relaxed structure of TeSeBr2O.

## Properties
The crystal system is tetragonal. The calculated volume is 21.424 A^3/atom.

a b c (Å): 4.8295 4.8295 4.5926
angles (deg): 90.00 90.00 90.00
Space group P4/mmm (No. 123)
Unique sites:
1 Te 0.0000 0.0000 0.0000
2 Se 0.5000 0.5000 0.0000
3 Br 0.0000 0.5000 0.5000
4 O 0.5000 0.5000 0.5000



two comes first in stability; the runner-up is 29.5 kJ/mol of atoms higher.



one.
Density functional theory data (GGA-PBE) for a relaxed structure of TlSe2BrO.

## Properties
The crystal system is tetragonal. The calculated volume is 26.346 A^3/atom.

a b c (Å): 4.2811 4.2811 7.1875
angles (deg): 90.00 90.00 90.00
Space group P4/mmm (No. 123)
Unique sites:
1 Tl 0.0000 0.0000 0.0000
2 Se 0.0000 0.5000 0.5000
3 Br 0.5000 0.5000 0.0000
4 O 0.5000 0.5000 0.5000



two.
Density functional theory data (GGA-PBE) for a relaxed structure of TlSe2BrO.

## Properties
The crystal system is tetragonal. The calculated volume is 34.938 A^3/atom.

a b c (Å): 5.5716 5.5716 5.6273
angles (deg): 90.00 90.00 90.00
Space group P4/mmm (No. 123)
Unique sites:
1 Tl 0.0000 0.0000 0.0000
2 Se 0.0000 0.5000 0.0000
3 Br 0.0000 0.0000 0.5000
4 O 0.5000 0.5000 0.5000



one comes first in stability; the runner-up is 98.4 kJ/mol of atoms higher.